[1]
A plane-wave DFT calculation with PBE was carried out for a relaxed structure of KSiTe2.

a = 3.1679 Å, b = 5.9316 Å, c = 6.6525 Å
α = 90.00°, β = 90.00°, γ = 90.00°
Positions (direct):
K 0.0000 0.0000 0.0000
Si 0.5000 0.5000 0.4415
Te 0.5000 0.0000 0.5094
Te 0.5000 0.5000 0.0514

Formation energy without anion corrections (eV per atom): -0.166

***

[2]
A plane-wave DFT calculation with PBE was carried out for a relaxed structure of SmMgCd2Au4.

a = 8.5596 Å, b = 8.5596 Å, c = 8.5596 Å
α = 32.90°, β = 32.90°, γ = 32.90°
Positions (direct):
Sm 0.0000 0.0000 0.0000
Mg 0.5000 0.5000 0.5000
Cd 0.2497 0.2497 0.2497
Cd 0.7503 0.7503 0.7503
Au 0.1289 0.1289 0.1289
Au 0.3856 0.3856 0.3856
Au 0.6144 0.6144 0.6144
Au 0.8711 0.8711 0.8711

Raw total energy (eV per formula unit): -25.4

***

[3]
A plane-wave DFT calculation with PBE was carried out for a relaxed structure of Li2CdHgN.

a = 4.2231 Å, b = 4.2231 Å, c = 4.5715 Å
α = 90.00°, β = 90.00°, γ = 90.00°
Positions (direct):
Li 0.0000 0.5000 0.0000
Li 0.5000 0.0000 0.0000
Cd 0.0000 0.0000 0.5000
Hg 0.5000 0.5000 0.5000
N 0.0000 0.0000 0.0000

Formation energy without anion corrections (eV per atom): -0.104

***

[4]
A plane-wave DFT calculation with PBE was carried out for a relaxed structure of BaMn2Te.

a = 3.8765 Å, b = 3.8765 Å, c = 7.2001 Å
α = 90.00°, β = 90.00°, γ = 90.00°
Positions (direct):
Ba 0.0000 0.0000 0.0000
Mn 0.5000 0.5000 0.3204
Mn 0.5000 0.5000 0.6796
Te 0.0000 0.0000 0.5000

Formation energy without anion corrections (eV per atom): 0.333

***

[5]
A plane-wave DFT calculation with PBE was carried out for a relaxed structure of CuNi2Te.

a = 3.2342 Å, b = 3.3113 Å, c = 5.3067 Å
α = 90.00°, β = 90.00°, γ = 90.00°
Positions (direct):
Cu 0.0000 0.0000 0.0000
Ni 0.5000 0.5000 0.2372
Ni 0.5000 0.5000 0.7628
Te 0.0000 0.0000 0.5000

Formation energy without anion corrections (eV per atom): 0.148

***

[6]
A plane-wave DFT calculation with PBE was carried out for a relaxed structure of Sn2Ge2As.

a = 7.1407 Å, b = 7.1407 Å, c = 4.6396 Å
α = 90.00°, β = 90.00°, γ = 90.00°
Positions (direct):
Sn 0.1881 0.3119 0.0000
Sn 0.3119 0.8119 0.0000
Sn 0.6881 0.1881 0.0000
Sn 0.8119 0.6881 0.0000
Ge 0.1313 0.6313 0.5000
Ge 0.3687 0.1313 0.5000
Ge 0.6313 0.8687 0.5000
Ge 0.8687 0.3687 0.5000
As 0.0000 0.0000 0.5000
As 0.5000 0.5000 0.5000

Energy relative to the lowest polymorph listed for this composition (meV per atom): 0

***

[7]
A plane-wave DFT calculation with PBE was carried out for a relaxed structure of MnSi2Ag.

a = 4.4400 Å, b = 4.4400 Å, c = 4.4400 Å
α = 60.00°, β = 60.00°, γ = 60.00°
Positions (direct):
Mn 0.0000 0.0000 0.0000
Si 0.2500 0.2500 0.2500
Si 0.5000 0.5000 0.5000
Ag 0.7500 0.7500 0.7500

Energy relative to the lowest polymorph listed for this composition (meV per atom): 506
Formation energy without anion corrections (eV per atom): 0.468

***

[8]
A plane-wave DFT calculation with PBE was carried out for a relaxed structure of Bi2H2Pb.

a = 4.2620 Å, b = 4.2620 Å, c = 8.7747 Å
α = 90.08°, β = 90.08°, γ = 89.48°
Positions (direct):
Bi 0.0005 0.0005 0.1714
Bi 0.9995 0.9995 0.8286
H 0.4991 0.4991 0.4571
H 0.5009 0.5009 0.5429
Pb 0.5000 0.5000 0.0000

Energy relative to the lowest polymorph listed for this composition (meV per atom): 0

***

[9]
A plane-wave DFT calculation with PBE was carried out for a relaxed structure of Ac3Sm2Rh3.

a = 7.2018 Å, b = 7.2018 Å, c = 14.3457 Å
α = 92.05°, β = 92.05°, γ = 47.39°
Positions (direct):
Ac 0.0000 0.0000 0.0000
Ac 0.0102 0.0102 0.2635
Ac 0.2156 0.2156 0.6349
Ac 0.5982 0.5982 0.8017
Ac 0.7051 0.7051 0.1339
Ac 0.9171 0.9171 0.5112
Sm 0.2749 0.2749 0.9421
Sm 0.2919 0.2919 0.3194
Sm 0.6329 0.6329 0.4412
Sm 0.8825 0.8825 0.7704
Rh 0.0919 0.0919 0.8181
Rh 0.1200 0.1200 0.4394
Rh 0.1753 0.1753 0.1312
Rh 0.7375 0.7375 0.6248
Rh 0.7895 0.7895 0.9378
Rh 0.8084 0.8084 0.3288

Raw total energy (eV per formula unit): -47.9

***

[10]
A plane-wave DFT calculation with PBE was carried out for a relaxed structure of Ba5Ac2Sn4.

a = 18.3677 Å, b = 18.3677 Å, c = 18.3677 Å
α = 167.21°, β = 152.87°, γ = 30.10°
Positions (direct):
Ba 0.0000 0.0000 0.0000
Ba 0.0451 0.3102 0.7349
Ba 0.4248 0.6898 0.7349
Ba 0.5752 0.3102 0.2651
Ba 0.9549 0.6898 0.2651
Ac 0.0826 0.5826 0.5000
Ac 0.9174 0.4174 0.5000
Sn 0.2687 0.7687 0.5000
Sn 0.3305 0.5000 0.8305
Sn 0.6695 0.5000 0.1695
Sn 0.7313 0.2313 0.5000

Raw total energy (eV per formula unit): -32.1

***

[11]
A plane-wave DFT calculation with PBE was carried out for a relaxed structure of Y2Re2S.

a = 6.3227 Å, b = 6.3227 Å, c = 4.9849 Å
α = 90.00°, β = 90.00°, γ = 90.00°
Positions (direct):
Y 0.1712 0.3288 0.0000
Y 0.3288 0.8288 0.0000
Y 0.6712 0.1712 0.0000
Y 0.8288 0.6712 0.0000
Re 0.1349 0.6349 0.5000
Re 0.3651 0.1349 0.5000
Re 0.6349 0.8651 0.5000
Re 0.8651 0.3651 0.5000
S 0.0000 0.0000 0.5000
S 0.5000 0.5000 0.5000

Energy relative to the lowest polymorph listed for this composition (meV per atom): 0
Formation energy without anion corrections (eV per atom): 0.089

***

[12]
A plane-wave DFT calculation with PBE was carried out for a relaxed structure of Zn2SbCl.

a = 3.0678 Å, b = 4.9584 Å, c = 5.6305 Å
α = 90.00°, β = 90.00°, γ = 90.00°
Positions (direct):
Zn 0.0000 0.0000 0.0000
Zn 0.5000 0.5000 0.0000
Sb 0.0000 0.5000 0.5000
Cl 0.5000 0.0000 0.5000

Energy relative to the lowest polymorph listed for this composition (meV per atom): 453
Formation energy without anion corrections (eV per atom): 0.105

***

[13]
A plane-wave DFT calculation with PBE was carried out for a relaxed structure of Tb4Pm2Nd2Tm.

a = 9.5920 Å, b = 9.5920 Å, c = 9.6593 Å
α = 115.19°, β = 115.19°, γ = 21.82°
Positions (direct):
Tb 0.0190 0.0190 0.3307
Tb 0.3152 0.3152 0.6655
Tb 0.6848 0.6848 0.3345
Tb 0.9810 0.9810 0.6693
Pm 0.3529 0.3529 0.3365
Pm 0.6471 0.6471 0.6635
Nd 0.1648 0.1648 0.0004
Nd 0.8352 0.8352 0.9996
Tm 0.5000 0.5000 0.0000

Raw total energy (eV per formula unit): -42.0

***

[14]
A plane-wave DFT calculation with PBE was carried out for a relaxed structure of PrSc2In.

a = 5.2528 Å, b = 5.2528 Å, c = 5.2528 Å
α = 60.00°, β = 60.00°, γ = 60.00°
Positions (direct):
Pr 0.0000 0.0000 0.0000
Sc 0.2500 0.2500 0.2500
Sc 0.7500 0.7500 0.7500
In 0.5000 0.5000 0.5000

Energy relative to the lowest polymorph listed for this composition (meV per atom): 122

***

[15]
A plane-wave DFT calculation with PBE was carried out for a relaxed structure of PmOsC.

a = 9.1473 Å, b = 7.0782 Å, c = 6.8380 Å
α = 82.17°, β = 50.05°, γ = 47.78°
Positions (direct):
Pm 0.0159 0.2948 0.7052
Pm 0.2948 0.0159 0.9841
Pm 0.7052 0.9841 0.0159
Pm 0.9841 0.7052 0.2948
Os 0.3020 0.6980 0.3020
Os 0.3997 0.3997 0.6003
Os 0.6003 0.6003 0.3997
Os 0.6980 0.3020 0.6980
C 0.2064 0.5024 0.4976
C 0.4976 0.7936 0.2064
C 0.5024 0.2064 0.7936
C 0.7936 0.4976 0.5024

Energy relative to the lowest polymorph listed for this composition (meV per atom): 0

***

[16]
A plane-wave DFT calculation with PBE was carried out for a relaxed structure of ScTa2Cl.

a = 11.4223 Å, b = 11.4223 Å, c = 11.4223 Å
α = 160.79°, β = 160.79°, γ = 27.30°
Positions (direct):
Sc 0.0000 0.0000 0.0000
Sc 0.7500 0.2500 0.5000
Ta 0.1182 0.1250 0.4932
Ta 0.3750 0.8818 0.0068
Ta 0.6318 0.6250 0.5068
Ta 0.8750 0.3682 0.9932
Cl 0.2500 0.7500 0.5000
Cl 0.5000 0.5000 0.0000

Energy relative to the lowest polymorph listed for this composition (meV per atom): 549
Formation energy without anion corrections (eV per atom): 0.353

***

[17]
A plane-wave DFT calculation with PBE was carried out for a relaxed structure of SrYCo3.

a = 4.7571 Å, b = 4.7571 Å, c = 4.7571 Å
α = 90.00°, β = 90.00°, γ = 90.00°
Positions (direct):
Sr 0.0000 0.0000 0.0000
Y 0.5000 0.5000 0.5000
Co 0.0000 0.0000 0.5000
Co 0.0000 0.5000 0.0000
Co 0.5000 0.0000 0.0000

Energy relative to the lowest polymorph listed for this composition (meV per atom): 413

***

[18]
A plane-wave DFT calculation with PBE was carried out for a relaxed structure of Li2NpSnO8.

a = 5.8529 Å, b = 5.8529 Å, c = 5.8529 Å
α = 112.73°, β = 112.73°, γ = 103.13°
Positions (direct):
Li 0.0000 0.0000 0.0000
Li 0.7500 0.2500 0.5000
Np 0.2500 0.7500 0.5000
Sn 0.5000 0.5000 0.0000
O 0.0048 0.7974 0.2075
O 0.1466 0.4549 0.6917
O 0.2026 0.4101 0.2075
O 0.2026 0.9952 0.7925
O 0.5451 0.2368 0.6917
O 0.5451 0.8534 0.3083
O 0.5899 0.7974 0.7925
O 0.7632 0.4549 0.3083

Formation energy without anion corrections (eV per atom): -1.479

***

[19]
A plane-wave DFT calculation with PBE was carried out for a relaxed structure of KCoSi2.

a = 3.9923 Å, b = 3.9923 Å, c = 4.4757 Å
α = 90.00°, β = 90.00°, γ = 90.00°
Positions (direct):
K 0.0000 0.0000 0.0000
Co 0.5000 0.5000 0.0000
Si 0.0000 0.5000 0.5000
Si 0.5000 0.0000 0.5000

Energy relative to the lowest polymorph listed for this composition (meV per atom): 985
Formation energy without anion corrections (eV per atom): 0.967

***

[20]
A plane-wave DFT calculation with PBE was carried out for a relaxed structure of BIr2.

a = 2.7825 Å, b = 2.7825 Å, c = 5.4269 Å
α = 90.00°, β = 90.00°, γ = 120.00°
Positions (direct):
B 0.0000 0.0000 0.0000
Ir 0.3333 0.6667 0.2777
Ir 0.6667 0.3333 0.7223

Raw total energy (eV per formula unit): -24.4

***

[21]
A plane-wave DFT calculation with PBE was carried out for a relaxed structure of Ca2Ge4Pt3.

a = 8.1915 Å, b = 8.1915 Å, c = 7.6900 Å
α = 90.00°, β = 90.00°, γ = 139.45°
Positions (direct):
Ca 0.1072 0.8928 0.9087
Ca 0.3928 0.6072 0.4087
Ca 0.6072 0.3928 0.5913
Ca 0.8928 0.1072 0.0913
Ge 0.1817 0.8183 0.5276
Ge 0.1883 0.3117 0.7500
Ge 0.3117 0.1883 0.2500
Ge 0.3183 0.6817 0.0276
Ge 0.6817 0.3183 0.9724
Ge 0.6883 0.8117 0.7500
Ge 0.8117 0.6883 0.2500
Ge 0.8183 0.1817 0.4724
Pt 0.0000 0.0000 0.5000
Pt 0.0230 0.4770 0.7500
Pt 0.4770 0.0230 0.2500
Pt 0.5000 0.5000 0.0000
Pt 0.5230 0.9770 0.7500
Pt 0.9770 0.5230 0.2500

Raw total energy (eV per formula unit): -46.9

***

[22]
A plane-wave DFT calculation with PBE was carried out for a relaxed structure of CuNi2Rh.

a = 2.6884 Å, b = 4.2660 Å, c = 4.2683 Å
α = 90.00°, β = 90.00°, γ = 90.00°
Positions (direct):
Cu 0.0000 0.0000 0.0000
Ni 0.0000 0.5000 0.5000
Ni 0.5000 0.0000 0.5000
Rh 0.5000 0.5000 0.0000

Raw total energy (eV per formula unit): -22.5

***

[23]
A plane-wave DFT calculation with PBE was carried out for a relaxed structure of HoTm2Ni2.

a = 13.2677 Å, b = 13.2677 Å, c = 4.5189 Å
α = 90.00°, β = 90.00°, γ = 164.30°
Positions (direct):
Ho 0.1346 0.8654 0.7500
Ho 0.8654 0.1346 0.2500
Tm 0.2295 0.7705 0.2500
Tm 0.4493 0.5507 0.7500
Tm 0.5507 0.4493 0.2500
Tm 0.7705 0.2295 0.7500
Ni 0.0275 0.9725 0.7500
Ni 0.3445 0.6555 0.7500
Ni 0.6555 0.3445 0.2500
Ni 0.9725 0.0275 0.2500

Energy relative to the lowest polymorph listed for this composition (meV per atom): 4

***

[24]
A plane-wave DFT calculation with PBE was carried out for a relaxed structure of CeDy5Al3.

a = 9.0965 Å, b = 9.0965 Å, c = 6.5847 Å
α = 90.00°, β = 90.00°, γ = 120.00°
Positions (direct):
Ce 0.0000 0.0000 0.0000
Ce 0.0000 0.0000 0.5000
Dy 0.0000 0.3282 0.2500
Dy 0.0000 0.6718 0.7500
Dy 0.3282 0.0000 0.2500
Dy 0.3282 0.3282 0.7500
Dy 0.3333 0.6667 0.0000
Dy 0.3333 0.6667 0.5000
Dy 0.6667 0.3333 0.0000
Dy 0.6667 0.3333 0.5000
Dy 0.6718 0.0000 0.7500
Dy 0.6718 0.6718 0.2500
Al 0.0000 0.3391 0.7500
Al 0.0000 0.6609 0.2500
Al 0.3391 0.0000 0.7500
Al 0.3391 0.3391 0.2500
Al 0.6609 0.0000 0.2500
Al 0.6609 0.6609 0.7500

Raw total energy (eV per formula unit): -42.4